Computed, not measured: TlP2SCl after structural relaxation at the PBE-GGA level of DFT.

Calculated values
- E above lowest polymorph (eV per atom) = 0.000
- size of the total moment (μB per formula unit) = 0.00
- calculated total energy (eV for the cell shown) = -17.210

Lattice parameters (Å, degrees): 4.4758 4.4758 7.3967 90.00 90.00 90.00
Space group P4/mmm (No. 123)
Inequivalent atoms, fractional coordinates:
1 Tl 0.0000 0.0000 0.0000 x1
2 P 0.0000 0.5000 0.5000 x2
3 S 0.5000 0.5000 0.5000 x1
4 Cl 0.5000 0.5000 0.0000 x1